Record 1
The following is a DFT calculation (PBE-GGA) of MgPW2 after structural relaxation.

CIF file:
```
data_MgPW2
_cell_length_a 3.2346
_cell_length_b 4.6605
_cell_length_c 8.4419
_cell_angle_alpha 90.00
_cell_angle_beta 90.00
_cell_angle_gamma 90.00
_space_group_name_H-M_alt 'C m m m'
_space_group_IT_number 65
_space_group_name_Hall '-C 2 2'
loop_
_atom_site_label
_atom_site_fract_x
_atom_site_fract_y
_atom_site_fract_z
Mg1 0.0000 0.0000 0.0000
P1 0.0000 0.0000 0.5000
W1 0.0000 0.5000 0.2837
```

Properties
The density of states at the Fermi level is 3.9 states/eV/cell. The formation enthalpy at 0 K is 0.32 eV per atom. The calculation puts the total magnetization at 0.000 μB/f.u. Its energy above the lowest structure with this stoichiometry is 222 meV/atom. As for the total energy: -63.28 eV for the cell shown.

=====

Record 2
The following is a DFT calculation (PBE-GGA) of GdPuSn2 after structural relaxation.

CIF file:
```
data_GdPuSn2
_cell_length_a 4.8983
_cell_length_b 4.8983
_cell_length_c 4.4578
_cell_angle_alpha 90.00
_cell_angle_beta 90.00
_cell_angle_gamma 90.00
_space_group_name_H-M_alt 'P 4/m m m'
_space_group_IT_number 123
_space_group_name_Hall '-P 4 2'
loop_
_atom_site_label
_atom_site_fract_x
_atom_site_fract_y
_atom_site_fract_z
Gd1 0.0000 0.0000 0.0000
Pu1 0.5000 0.5000 0.0000
Sn1 0.0000 0.5000 0.5000
```

Properties
The density of states at the Fermi level is 10.9 states/eV/cell. The formation enthalpy at 0 K is -0.47 eV per atom. The calculation puts the total magnetization at 0.906 μB/f.u. Its energy above the lowest structure with this stoichiometry is 71 meV/atom. As for the total energy: -38.31 eV for the cell shown.

=====

Record 3
The following is a DFT calculation (PBE-GGA) of MnCBr2 after structural relaxation.

CIF file:
```
data_MnCBr2
_cell_length_a 3.4447
_cell_length_b 3.4447
_cell_length_c 23.0419
_cell_angle_alpha 90.00
_cell_angle_beta 90.00
_cell_angle_gamma 120.00
_space_group_name_H-M_alt 'R -3 m'
_space_group_IT_number 166
_space_group_name_Hall '-R 3 2"'
loop_
_atom_site_label
_atom_site_fract_x
_atom_site_fract_y
_atom_site_fract_z
Mn1 0.0000 0.0000 0.0000
C1 0.0000 0.0000 0.5000
Br1 0.0000 0.0000 0.3958
```

Properties
The density of states at the Fermi level is 45.5 states/eV/cell. The calculation puts the total magnetization at 0.001 μB/f.u. Its energy above the lowest structure with this stoichiometry is 0 meV/atom. As for the total energy: -44.39 eV for the cell shown.

=====

Record 4
The following is a DFT calculation (PBE-GGA) of Pr2Ga4Cu3Pd after structural relaxation.

CIF file:
```
data_Pr2Ga4Cu3Pd
_cell_length_a 4.2682
_cell_length_b 4.2682
_cell_length_c 10.2283
_cell_angle_alpha 90.00
_cell_angle_beta 90.00
_cell_angle_gamma 90.00
_space_group_name_H-M_alt 'P -4 m 2'
_space_group_IT_number 115
loop_
_space_group_symop_operation_xyz
'x,y,z'
'y,-x,-z'
'-x,-y,z'
'-y,x,-z'
'-x,y,z'
'-y,-x,-z'
'x,-y,z'
'y,x,-z'
loop_
_atom_site_label
_atom_site_fract_x
_atom_site_fract_y
_atom_site_fract_z
Pr1 0.0000 0.5000 0.2475
Ga1 0.0000 0.0000 0.0000
Ga2 0.0000 0.5000 0.6323
Ga3 0.5000 0.5000 0.0000
Cu1 0.0000 0.5000 0.8708
Cu2 0.5000 0.5000 0.5000
Pd1 0.0000 0.0000 0.5000
```

Properties
The density of states at the Fermi level is 7.1 states/eV/cell. The formation enthalpy at 0 K is -0.52 eV per atom. The calculation puts the total magnetization at 0.000 μB/f.u. As for the total energy: -44.38 eV for the cell shown.